Record 1
NpCdNi2O8 GGA+U optimized geometry; total magnetization = 1.08 Bohr magnetons per cell; electronic total energy = -6.13 eV per atom
1.0
4.8278 0.0000 0.0000
0.0000 6.3419 0.0000
-0.1191 0.0000 4.8492
Np Cd Ni O
1 1 2 8
Cartesian
0.0000 0.0000 0.0000
0.0000 3.1710 0.0000
2.3544 1.5529 2.4246
2.3544 4.7890 2.4246
0.8821 1.4118 3.8859
0.8821 4.9301 3.8859
1.4582 0.0000 1.5192
1.5771 3.1710 1.6495
3.1316 3.1710 3.1997
3.2505 0.0000 3.3300
3.8267 1.4118 0.9633
3.8267 4.9301 0.9633



Record 2
Cd3Ni5O12 GGA+U optimized geometry; total magnetization = 40.55 Bohr magnetons per cell; electronic total energy = -4.32 eV per atom
1.0
-6.1274 6.1274 6.1274
6.1274 -6.1274 6.1274
6.1274 6.1274 -6.1274
Cd Ni O
12 20 48
Cartesian
3.0637 1.5319 0.0000
6.1274 3.0637 -1.5319
1.5319 0.0000 3.0637
7.6593 0.0000 3.0637
0.0000 3.0637 1.5319
3.0637 -1.5319 6.1274
3.0637 7.6593 0.0000
6.1274 3.0637 4.5956
-1.5319 6.1274 3.0637
4.5956 6.1274 3.0637
0.0000 3.0637 7.6593
3.0637 4.5956 6.1274
0.0000 0.0000 0.0000
3.0637 3.0637 -3.0637
3.0637 -3.0637 3.0637
6.1274 0.0000 0.0000
9.1912 1.5319 0.0000
6.1274 -3.0637 4.5956
4.5956 6.1274 -3.0637
4.5956 0.0000 3.0637
3.0637 4.5956 0.0000
6.1274 3.0637 1.5319
-3.0637 3.0637 3.0637
0.0000 6.1274 0.0000
0.0000 0.0000 6.1274
3.0637 3.0637 3.0637
0.0000 3.0637 4.5956
3.0637 1.5319 6.1274
1.5319 6.1274 3.0637
1.5319 0.0000 9.1912
0.0000 9.1912 1.5319
-3.0637 4.5956 6.1274
1.7763 -0.3353 0.5860
7.4148 3.6497 -3.3990
7.9038 0.3353 0.5860
7.4148 -2.4777 3.3990
5.7922 -0.5860 1.7763
9.5264 -1.2874 2.4777
0.5860 1.7763 -0.3353
8.6051 2.7284 -1.2874
3.6497 3.3990 -1.2874
5.5414 1.7763 0.3353
-0.3353 0.5860 1.7763
3.3990 -1.2874 3.6497
5.7922 5.5414 -1.7763
3.3990 1.2874 2.4777
3.6497 -3.3990 7.4148
5.5414 -1.7763 5.7922
2.4777 3.3990 1.2874
6.7135 4.3511 0.3353
3.3990 7.4148 -2.4777
5.7922 0.5860 4.3511
1.7763 5.7922 -0.5860
7.4148 2.4777 2.7284
1.2874 2.4777 3.3990
1.7763 0.3353 5.5414
4.3511 5.7922 0.5860
4.8401 3.6497 2.7284
-1.2874 3.6497 3.3990
4.3511 0.3353 6.7135
0.3353 5.5414 1.7763
2.7284 -1.2874 8.6051
-0.5860 1.7763 5.7922
3.6497 2.7284 4.8401
0.5860 7.9038 0.3353
2.4777 9.5264 -1.2874
2.7284 4.8401 3.6497
0.3353 0.5860 7.9038
2.7284 7.4148 2.4777
6.4627 5.5414 4.3511
0.5860 4.3511 5.7922
2.4777 2.7284 7.4148
-2.4777 3.3990 7.4148
5.5414 4.3511 6.4627
-3.3990 7.4148 3.6497
0.3353 6.7135 4.3511
-1.2874 8.6051 2.7284
-1.7763 5.7922 5.5414
-1.2874 2.4777 9.5264
4.3511 6.4627 5.5414



Record 3
Cd2NiO GGA+U optimized geometry; total magnetization = 0.00 Bohr magnetons per cell; electronic total energy = -2.09 eV per atom
1.0
6.4676 0.0000 0.0000
0.0000 6.4676 0.0000
0.0000 0.0000 6.2824
Cd Ni O
8 4 4
Cartesian
1.3227 1.6169 0.7853
1.6169 4.5565 2.3559
1.6169 5.1448 5.4971
1.9111 1.6169 3.9265
4.5565 4.8507 3.9265
4.8507 1.3227 5.4971
4.8507 1.9111 2.3559
5.1448 4.8507 0.7853
0.0000 0.0000 3.1412
0.0000 3.2338 4.7118
3.2338 0.0000 1.5706
3.2338 3.2338 0.0000
0.0000 0.0000 0.0000
0.0000 3.2338 1.5706
3.2338 0.0000 4.7118
3.2338 3.2338 3.1412



Record 4
CdNi3O GGA+U optimized geometry; total magnetization = 2.22 Bohr magnetons per cell; E above lowest polymorph = 0.0000 eV/atom
1.0
4.0216 0.0000 0.0000
0.0000 4.0216 0.0000
0.0000 0.0000 4.0216
Cd Ni O
1 3 1
Cartesian
0.0000 0.0000 0.0000
0.0000 2.0108 2.0108
2.0108 0.0000 2.0108
2.0108 2.0108 0.0000
2.0108 2.0108 2.0108



no.,density of states at the Fermi level (states/eV per cell)
1,6.24
2,28.57
3,6.58
4,1.00